No. 1
# InCo2Pd (PBE, relaxed)
data_InCo2Pd
_cell_length_a 6.143
_cell_length_b 6.143
_cell_length_c 6.143
_cell_angle_alpha 90.00
_cell_angle_beta 90.00
_cell_angle_gamma 90.00
_symmetry_space_group_name_H-M 'F -4 3 m'
_symmetry_Int_Tables_number 216
_symmetry_space_group_name_Hall 'F -4 2 3'
loop_
_atom_site_label
_atom_site_fract_x
_atom_site_fract_y
_atom_site_fract_z
In1 0.000 0.000 0.000
Co1 0.000 0.000 0.500
Co2 0.250 0.250 0.750
Pd1 0.250 0.250 0.250
# * total magnetic moment: 0.7891 μB per atom



No. 2
# InCoPdPt (PBE, relaxed)
data_InCoPdPt
_cell_length_a 6.308
_cell_length_b 6.308
_cell_length_c 6.308
_cell_angle_alpha 90.00
_cell_angle_beta 90.00
_cell_angle_gamma 90.00
_symmetry_space_group_name_H-M 'F -4 3 m'
_symmetry_Int_Tables_number 216
_symmetry_space_group_name_Hall 'F -4 2 3'
loop_
_atom_site_label
_atom_site_fract_x
_atom_site_fract_y
_atom_site_fract_z
In1 0.000 0.000 0.000
Co1 0.250 0.250 0.250
Pd1 0.250 0.250 0.750
Pt1 0.000 0.000 0.500
# * total magnetic moment: 0.4238 μB per atom
# * energy above the lowest structure with this stoichiometry: 0.000 eV per atom



No. 3
# TaInCoPd (PBE, relaxed)
data_TaInCoPd
_cell_length_a 6.385
_cell_length_b 6.385
_cell_length_c 6.385
_cell_angle_alpha 90.00
_cell_angle_beta 90.00
_cell_angle_gamma 90.00
_symmetry_space_group_name_H-M 'F -4 3 m'
_symmetry_Int_Tables_number 216
_symmetry_space_group_name_Hall 'F -4 2 3'
loop_
_atom_site_label
_atom_site_fract_x
_atom_site_fract_y
_atom_site_fract_z
Ta1 0.000 0.000 0.000
In1 0.250 0.250 0.250
Co1 0.000 0.000 0.500
Pd1 0.250 0.250 0.750
# * total magnetic moment: 0.0713 μB per atom
# * energy above the lowest structure with this stoichiometry: 0.314 eV per atom



No. 4
# TaInCoPd (PBE, relaxed)
data_TaInCoPd
_cell_length_a 6.331
_cell_length_b 6.331
_cell_length_c 6.331
_cell_angle_alpha 90.00
_cell_angle_beta 90.00
_cell_angle_gamma 90.00
_symmetry_space_group_name_H-M 'F -4 3 m'
_symmetry_Int_Tables_number 216
_symmetry_space_group_name_Hall 'F -4 2 3'
loop_
_atom_site_label
_atom_site_fract_x
_atom_site_fract_y
_atom_site_fract_z
Ta1 0.000 0.000 0.000
In1 0.000 0.000 0.500
Co1 0.250 0.250 0.750
Pd1 0.250 0.250 0.250
# * total magnetic moment: 0.2152 μB per atom
# * energy above the lowest structure with this stoichiometry: 0.000 eV per atom



No. 5
# InCoPdW (PBE, relaxed)
data_InCoPdW
_cell_length_a 6.274
_cell_length_b 6.274
_cell_length_c 6.274
_cell_angle_alpha 90.00
_cell_angle_beta 90.00
_cell_angle_gamma 90.00
_symmetry_space_group_name_H-M 'F -4 3 m'
_symmetry_Int_Tables_number 216
_symmetry_space_group_name_Hall 'F -4 2 3'
loop_
_atom_site_label
_atom_site_fract_x
_atom_site_fract_y
_atom_site_fract_z
In1 0.000 0.000 0.000
Co1 0.250 0.250 0.250
Pd1 0.000 0.000 0.500
W1 0.250 0.250 0.750
# * total magnetic moment: 0.0201 μB per atom
# * energy above the lowest structure with this stoichiometry: 0.203 eV per atom



No. 6
# InCoPdW (PBE, relaxed)
data_InCoPdW
_cell_length_a 6.286
_cell_length_b 6.286
_cell_length_c 6.286
_cell_angle_alpha 90.00
_cell_angle_beta 90.00
_cell_angle_gamma 90.00
_symmetry_space_group_name_H-M 'F -4 3 m'
_symmetry_Int_Tables_number 216
_symmetry_space_group_name_Hall 'F -4 2 3'
loop_
_atom_site_label
_atom_site_fract_x
_atom_site_fract_y
_atom_site_fract_z
In1 0.000 0.000 0.000
Co1 0.250 0.250 0.250
Pd1 0.250 0.250 0.750
W1 0.000 0.000 0.500
# * total magnetic moment: 0.0460 μB per atom
# * energy above the lowest structure with this stoichiometry: 0.000 eV per atom



No. 7
# YInCoPd (PBE, relaxed)
data_YInCoPd
_cell_length_a 7.529
_cell_length_b 7.529
_cell_length_c 7.529
_cell_angle_alpha 90.00
_cell_angle_beta 90.00
_cell_angle_gamma 90.00
_symmetry_space_group_name_H-M 'F -4 3 m'
_symmetry_Int_Tables_number 216
_symmetry_space_group_name_Hall 'F -4 2 3'
loop_
_atom_site_label
_atom_site_fract_x
_atom_site_fract_y
_atom_site_fract_z
Y1 0.000 0.000 0.000
In1 0.250 0.250 0.250
Co1 0.000 0.000 0.500
Pd1 0.250 0.250 0.750
# * total magnetic moment: 0.4193 μB per atom
# * energy above the lowest structure with this stoichiometry: 0.700 eV per atom



No. 8
# YInCoPd (PBE, relaxed)
data_YInCoPd
_cell_length_a 6.645
_cell_length_b 6.645
_cell_length_c 6.645
_cell_angle_alpha 90.00
_cell_angle_beta 90.00
_cell_angle_gamma 90.00
_symmetry_space_group_name_H-M 'F -4 3 m'
_symmetry_Int_Tables_number 216
_symmetry_space_group_name_Hall 'F -4 2 3'
loop_
_atom_site_label
_atom_site_fract_x
_atom_site_fract_y
_atom_site_fract_z
Y1 0.000 0.000 0.000
In1 0.000 0.000 0.500
Co1 0.250 0.250 0.750
Pd1 0.250 0.250 0.250
# * total magnetic moment: 0.2325 μB per atom
# * energy above the lowest structure with this stoichiometry: 0.000 eV per atom



No. 9
# Pm2InCo2 (PBE, relaxed)
data_Pm2InCo2
_cell_length_a 3.873
_cell_length_b 14.114
_cell_length_c 4.013
_cell_angle_alpha 90.00
_cell_angle_beta 90.00
_cell_angle_gamma 90.00
_symmetry_space_group_name_H-M 'C m m m'
_symmetry_Int_Tables_number 65
_symmetry_space_group_name_Hall '-C 2 2'
loop_
_atom_site_label
_atom_site_fract_x
_atom_site_fract_y
_atom_site_fract_z
Pm1 0.000 0.136 0.000
In1 0.000 0.500 0.500
Co1 0.000 0.292 0.500
# * total magnetic moment: 0.2783 μB per atom



No. 10
# PrInCo2 (PBE, relaxed)
data_PrInCo2
_cell_length_a 5.160
_cell_length_b 4.038
_cell_length_c 7.321
_cell_angle_alpha 90.00
_cell_angle_beta 90.00
_cell_angle_gamma 90.00
_symmetry_space_group_name_H-M 'P m m a'
_symmetry_Int_Tables_number 51
_symmetry_space_group_name_Hall '-P 2a 2a'
loop_
_atom_site_label
_atom_site_fract_x
_atom_site_fract_y
_atom_site_fract_z
Pr1 0.250 0.000 0.211
In1 0.250 0.500 0.836
Co1 0.000 0.500 0.500
Co2 0.250 0.000 0.582
# * total magnetic moment: 0.5521 μB per atom



No. 11
# PrIn5Co (PBE, relaxed)
data_PrIn5Co
_cell_length_a 4.629
_cell_length_b 4.629
_cell_length_c 7.632
_cell_angle_alpha 90.00
_cell_angle_beta 90.00
_cell_angle_gamma 90.00
_symmetry_space_group_name_H-M 'P 4/m m m'
_symmetry_Int_Tables_number 123
_symmetry_space_group_name_Hall '-P 4 2'
loop_
_atom_site_label
_atom_site_fract_x
_atom_site_fract_y
_atom_site_fract_z
Pr1 0.000 0.000 0.000
In1 0.000 0.500 0.310
In2 0.500 0.500 0.000
Co1 0.000 0.000 0.500
# * total magnetic moment: 0.0004 μB per atom



No. 12
# PrSm2In3Co3 (PBE, relaxed)
data_PrSm2In3Co3
_cell_length_a 3.937
_cell_length_b 12.905
_cell_length_c 7.485
_cell_angle_alpha 90.00
_cell_angle_beta 90.00
_cell_angle_gamma 90.00
_symmetry_space_group_name_H-M 'A m m 2'
_symmetry_Int_Tables_number 38
_symmetry_space_group_name_Hall 'A 2 -2'
loop_
_atom_site_label
_atom_site_fract_x
_atom_site_fract_y
_atom_site_fract_z
Pr1 0.000 0.000 0.000
Sm1 0.000 0.207 0.621
In1 0.500 0.000 0.660
In2 0.500 0.125 0.292
Co1 0.000 0.000 0.416
Co2 0.500 0.168 0.914
# * total magnetic moment: 0.0005 μB per atom



Total DFT energy (no corrections) for every record listed, in sequence, given in eV per atom: -5.45; -5.37; -6.52; -6.84; -6.52; -6.73; -5.09; -5.79; -5.57; -5.62; -3.93; -5.11.